Compound: Tb3Dy5Er
Source: Alexandria
Functional: PBE
Structure: optimized geometry

```
Tb3Dy5Er
1.0
-5.529 0.569 -7.630
-1.252 -8.876 -2.960
-10.017 -5.405 -1.760
Tb Dy Er
6 10 2
Cartesian
-12.873 -10.169 -8.779 Tb
-8.078 -7.425 -7.620 Tb
0.000 0.000 0.000 Tb
-5.008 -2.703 -0.880 Tb
-3.925 -3.543 -3.572 Tb
-8.720 -6.287 -4.731 Tb
-7.643 -3.932 -7.922 Dy
-2.353 -6.445 -4.162 Dy
-15.160 -11.975 -10.338 Dy
-5.650 -5.330 -5.607 Dy
-11.148 -8.381 -6.744 Dy
-1.638 -1.737 -2.013 Dy
-5.491 -8.686 -5.571 Dy
-4.428 -1.861 -6.429 Dy
-9.154 -9.780 -4.429 Dy
-11.307 -5.025 -6.780 Dy
-7.022 -4.486 -2.643 Er
-9.776 -9.226 -9.708 Er
```

## Properties
SG: C2/m, No. 12
Formation enthalpy at 0 K (meV/atom): 526
Final energy (eV per atom): -4.081
Spin magnetization (μB/cell): 0.00

Compound: Pm6Sm2Sc3
Source: Alexandria
Functional: PBE
Structure: optimized geometry

```
Pm6Sm2Sc3
1.0
-4.138 -5.975 3.093
8.108 -2.397 -2.010
8.290 -8.015 5.445
Pm Sm Sc
6 2 3
Cartesian
10.775 -7.919 3.017 Pm
4.492 -11.148 6.511 Pm
1.485 -8.467 3.510 Pm
7.769 -5.238 0.016 Pm
7.069 -10.913 4.032 Pm
5.191 -5.473 2.495 Pm
1.774 -5.657 1.556 Sm
10.486 -10.729 4.971 Sm
0.000 0.000 0.000 Sc
7.339 -8.133 2.077 Sc
4.921 -8.253 4.450 Sc
```

## Properties
SG: P-1, No. 2
Formation enthalpy at 0 K (meV/atom): 49
Final energy (eV per atom): -5.127
Spin magnetization (μB/cell): 0.00

Compound: Pr5Zn4Ga
Source: Alexandria
Functional: PBE
Structure: optimized geometry

```
Pr5Zn4Ga
1.0
-3.695 0.308 0.071
-0.138 -0.824 -3.613
-1.431 -18.153 4.195
Pr Zn Ga
5 4 1
Cartesian
-2.059 -2.074 -1.352 Pr
-2.346 -5.710 -0.511 Pr
-2.632 -9.335 0.326 Pr
-2.918 -12.960 1.164 Pr
-3.205 -16.596 2.004 Pr
-0.289 -3.662 0.846 Zn
-0.573 -7.264 1.678 Zn
-0.859 -10.889 2.516 Zn
-1.143 -14.492 3.348 Zn
0.000 0.000 0.000 Ga
```

## Properties
SG: P4/mmm, No. 123
Formation enthalpy at 0 K (meV/atom): -344
Final energy (eV per atom): -3.546
Spin magnetization (μB/cell): 0.00